Ag2TePb2: optimized geometry, GGA-PBE.

POSCAR file:
```
Ag2TePb2
1.0
-2.3407 2.3407 6.3416
2.3407 -2.3407 6.3416
2.3407 2.3407 -6.3416
Ag Te Pb
2 1 2
direct
0.1048 0.1048 0.0000 Ag
0.8952 0.8952 0.0000 Ag
0.5000 0.5000 0.0000 Te
0.2500 0.7500 0.5000 Pb
0.7500 0.2500 0.5000 Pb
```

Summary:
The value obtained for the calculated volume is 27.8 Å³ per atom. As for the total energy: -3.046 eV per atom. The density comes out at 9.05 g/cm³. The calculation puts the raw formation energy at 0.207 eV per atom. The energy above the most stable polymorph in this dataset comes out at 0.1939 eV/atom.